1.
Compound: Ca3Y2Ge3O12
Source: Alexandria
Functional: PBE
Structure: optimized geometry

Cell: 12.9592 12.9592 12.9592 Å, 90.00 90.00 90.00°
Space group Ia-3d (No. 230)
Inequivalent atoms, fractional coordinates:
Ca 0.0000 0.2500 0.1250 x24
Y 0.0000 0.0000 0.0000 x16
Ge 0.0000 0.2500 0.3750 x24
O 0.0356 0.0559 0.6608 x96

- final energy (eV per atom) = -7.280
- raw formation energy (meV per atom) = -2666
- total moment (Bohr magnetons per cell) = 0.0
- crystal system = cubic
- DOS at the Fermi energy (states/eV per cell) = 0.00

2.
Compound: AlFeH6
Source: Alexandria
Functional: PBE
Structure: optimized geometry

Cell: 3.0291 4.1044 4.9455 Å, 100.97 106.97 90.04°
Space group P-1 (No. 2)
Inequivalent atoms, fractional coordinates:
Al 0.0000 0.0000 0.0000 x1
Fe 0.5000 0.5000 0.0000 x1
H 0.1999 0.2847 0.6940 x2
H 0.4039 0.7726 0.7986 x2
H 0.4860 0.7138 0.3051 x2

- final energy (eV per atom) = -3.916
- total moment (Bohr magnetons per cell) = 0.7
- crystal system = triclinic
- DOS at the Fermi energy (states/eV per cell) = 1.11